First-principles (PBE+U) data for NaNiMoO4 after structural relaxation, as listed in Alexandria via LeMat-Bulk.

Computed properties:
Mass density = 3.6 Mg/m³
Raw total energy = -5.7801 eV/atom
Space group = P2_1/m

Cell: 6.3417 6.7314 6.3802 Å, 90.00 124.65 90.00°
Closest atoms and distances in Å follow each position.
Atoms (fractional coordinates):
Na: 0.6700 0.7500 0.0559  4 O 2.25-2.48
Na: 0.3300 0.2500 0.9441  4 O 2.25-2.48
Ni: 0.9417 0.7500 0.7709  4 O 1.99-2.11
Ni: 0.0583 0.2500 0.2291  4 O 1.99-2.11
Mo: 0.2590 0.7500 0.3216  4 O 1.80-1.82
Mo: 0.7410 0.2500 0.6784  4 O 1.80-1.82
O: 0.9375 0.4587 0.7169  1 Mo 1.80, 1 Ni 1.99
O: 0.0625 0.9587 0.2831  1 Mo 1.80, 1 Ni 1.99
O: 0.0625 0.5413 0.2831  1 Mo 1.80, 1 Ni 1.99
O: 0.9375 0.0413 0.7169  1 Mo 1.80, 1 Ni 1.99
O: 0.3309 0.7500 0.0826  1 Mo 1.82
O: 0.6691 0.2500 0.9174  1 Mo 1.82
O: 0.5559 0.7500 0.6375  1 Mo 1.81
O: 0.4441 0.2500 0.3625  1 Mo 1.81